a:
The following is a DFT calculation (PBE) of a geometry-optimized MnHg2Os structure.

The structure in POSCAR format:
```
MnHg2Os
1.0
-1.5168 -2.7883 9.2680
-3.6536 -4.3444 7.9843
-0.9223 -5.4217 8.1071
Os Mn Hg
1 1 2
Direct
0.7614 0.7614 0.7614
0.4913 0.4913 0.4913
0.0074 0.0074 0.0074
0.2399 0.2399 0.2399
```

***

b:
The following is a DFT calculation (PBE) of a geometry-optimized MnHg2Os structure.

The structure in POSCAR format:
```
MnHg2Os
1.0
-1.0592 -2.8119 2.7997
3.3826 0.8759 2.1595
-2.0927 2.8865 2.1073
Mn Hg Os
1 2 1
Direct
0.5000 0.0000 0.5000
0.0000 0.0000 0.0000
0.5000 0.5000 0.0000
0.0000 0.5000 0.5000
```

***

Energy ordering: a at the bottom, the next structure 0.186 eV/atom above.